# Ac6Co3Ge (GGA-PBE, optimized geometry)
# - size of the total moment (μB per formula unit) = 0.00
# - D(E_F) (states/eV/f.u.) = 6.80
# - energy of formation from the pure elements (eV/atom) = -0.11
data_Ac6Co3Ge
_cell_length_a 12.270
_cell_length_b 4.331
_cell_length_c 12.402
_cell_angle_alpha 90.00
_cell_angle_beta 109.53
_cell_angle_gamma 90.00
_space_group_name_H-M_alt 'P 1 21/m 1'
_space_group_IT_number 11
loop_
_space_group_symop_operation_xyz
'x,y,z'
'-x,-y,-z'
'-x,y+1/2,-z'
'x,-y+1/2,z'
loop_
_atom_site_label
_atom_site_fract_x
_atom_site_fract_y
_atom_site_fract_z
_atom_site_occupancy
Ac1 0.041 0.250 0.393 1
Ac2 0.108 0.250 0.939 1
Ac3 0.221 0.750 0.257 1
Ac4 0.290 0.750 0.756 1
Ac5 0.376 0.250 0.536 1
Ac6 0.424 0.750 0.089 1
Co1 0.050 0.250 0.163 1
Co2 0.190 0.750 0.496 1
Co3 0.342 0.250 0.909 1
Ge1 0.448 0.250 0.301 1